# 1
The following is a DFT calculation (PBE) of a geometry-optimized Cs8Au3I2 structure.

The structure in CIF format:
```
data_Cs8Au3I2
_chemical_formula_sum 'Cs16 Au6 I4'
_symmetry_space_group_name_H-M 'C 1 2/m 1'
_symmetry_Int_Tables_number 12
_cell_length_a 19.6905
_cell_length_b 10.5405
_cell_length_c 9.0316
_cell_angle_alpha 90.00
_cell_angle_beta 109.33
_cell_angle_gamma 90.00
loop_
_symmetry_equiv_pos_as_xyz
'x,y,z'
'-x,-y,-z'
'-x,y,-z'
'x,-y,z'
'x+1/2,y+1/2,z'
'-x+1/2,-y+1/2,-z'
'-x+1/2,y+1/2,-z'
'x+1/2,-y+1/2,z'
loop_
_atom_site_label
_atom_site_type_symbol
_atom_site_fract_x
_atom_site_fract_y
_atom_site_fract_z
Cs1 Cs 0.1082 0.0000 0.4206
Cs2 Cs 0.1096 0.5000 0.3954
Cs3 Cs 0.1144 0.2409 0.9077
Au1 Au 0.0000 0.0000 0.0000
Au2 Au 0.0000 0.2549 0.5000
I1 I 0.2455 0.5000 0.1545
```

Computed properties:
Energy relative to the elements, uncorrected   -597 meV per atom
V   1769 Å³/cell

---

# 2
The following is a DFT calculation (PBE) of a geometry-optimized CaScTl structure.

The structure in CIF format:
```
data_CaScTl
_chemical_formula_sum 'Ca2 Sc2 Tl2'
_symmetry_space_group_name_H-M 'P 3 m 1'
_symmetry_Int_Tables_number 156
_cell_length_a 5.1990
_cell_length_b 5.1990
_cell_length_c 6.9157
_cell_angle_alpha 90.00
_cell_angle_beta 90.00
_cell_angle_gamma 120.00
loop_
_symmetry_equiv_pos_as_xyz
'x,y,z'
'-y,x-y,z'
'-x+y,-x,z'
'-y,-x,z'
'-x+y,y,z'
'x,x-y,z'
loop_
_atom_site_label
_atom_site_type_symbol
_atom_site_fract_x
_atom_site_fract_y
_atom_site_fract_z
Ca1 Ca 0.0000 0.0000 0.0000
Ca2 Ca 0.3333 0.6667 0.2557
Sc1 Sc 0.0000 0.0000 0.5077
Sc2 Sc 0.6667 0.3333 0.7272
Tl1 Tl 0.3333 0.6667 0.7441
Tl2 Tl 0.6667 0.3333 0.2792
```

Computed properties:
V   162 Å³/cell
ΔE_f   -0.248 eV/atom

---

# 3
The following is a DFT calculation (PBE) of a geometry-optimized La2Y2Pd structure.

The structure in CIF format:
```
data_La2Y2Pd
_chemical_formula_sum 'La4 Y4 Pd2'
_symmetry_space_group_name_H-M 'P 4/m b m'
_symmetry_Int_Tables_number 127
_symmetry_space_group_name_Hall '-P 4 2ab'
_cell_length_a 7.4763
_cell_length_b 7.4763
_cell_length_c 5.6902
_cell_angle_alpha 90.00
_cell_angle_beta 90.00
_cell_angle_gamma 90.00
loop_
_atom_site_label
_atom_site_type_symbol
_atom_site_fract_x
_atom_site_fract_y
_atom_site_fract_z
La1 La 0.1520 0.3480 0.0000
Y1 Y 0.1624 0.6624 0.5000
Pd1 Pd 0.0000 0.0000 0.0000
```

Computed properties:
V   318 Å³/cell
ΔE_f   -0.104 eV/atom

---

# 4
The following is a DFT calculation (PBE) of a geometry-optimized Tc2BiI2 structure.

The structure in CIF format:
```
data_Tc2BiI2
_chemical_formula_sum 'Tc4 Bi2 I4'
_symmetry_space_group_name_H-M 'I 4/m m m'
_symmetry_Int_Tables_number 139
_symmetry_space_group_name_Hall '-I 4 2'
_cell_length_a 4.7043
_cell_length_b 4.7043
_cell_length_c 11.1682
_cell_angle_alpha 90.00
_cell_angle_beta 90.00
_cell_angle_gamma 90.00
loop_
_atom_site_label
_atom_site_type_symbol
_atom_site_fract_x
_atom_site_fract_y
_atom_site_fract_z
Tc1 Tc 0.0000 0.0000 0.1003
Bi1 Bi 0.0000 0.0000 0.5000
I1 I 0.0000 0.5000 0.2500
```

Computed properties:
Energy relative to the elements, uncorrected   889 meV per atom
V   247 Å³/cell